First-principles (PBE) data for a relaxed structure of MgBePd6, as listed in the Alexandria database.

Calculated values
The calculation puts the spin magnetization at 0.00 μB/cell. Its calculated formation energy is -1.5 eV/f.u.

Unit cell a=6.2847 b=8.6673 c=5.3535 alpha=90.00 beta=121.72 gamma=90.00
With the nearest neighbours (Å) after each atom.
Space group C2/m (No. 12)
Symmetry-distinct sites (fractional):
Mg1 0.0000 0.0000 0.0000 [2 per cell]  6 Pd 2.74, 2 Be 2.86
Be1 0.0000 0.5000 0.5000 [2 per cell]  6 Pd 2.36-2.37
Pd1 0.0336 0.2717 0.7617 [8 per cell]  1 Be 2.37, 3 Pd 2.60-2.61
Pd2 0.2382 0.0000 0.6941 [4 per cell]  1 Be 2.36, 3 Pd 2.60-2.61


First-principles (PBE) data for a relaxed structure of MgBe3Pd4, as listed in the Alexandria database.

Calculated values
The calculation puts the spin magnetization at 0.00 μB/cell. Its calculated formation energy is -4.4 eV/f.u.

Unit cell a=4.1116 b=4.1116 c=20.5929 alpha=90.00 beta=90.00 gamma=120.00
With the nearest neighbours (Å) after each atom.
Space group R-3m (No. 166, hexagonal axes)
Symmetry-distinct sites (fractional):
Mg1 0.0000 0.0000 0.0000 [3 per cell]  8 Pd 2.60-2.67
Be1 0.0000 0.0000 0.2478 [6 per cell]  7 Pd 2.43-2.54
Be2 0.0000 0.0000 0.5000 [3 per cell]  8 Pd 2.37-2.49
Pd1 0.0000 0.0000 0.1298 [6 per cell]  7 Be 2.43-2.54, 1 Mg 2.67
Pd2 0.0000 0.0000 0.3848 [6 per cell]  4 Be 2.37-2.47, 3 Mg 2.60


> Which value of spin magnetization does entry 1 give?

0.00 μB/cell


> Look up the calculated formation energy of the second one.

-4.4 eV/f.u.


> The lowest calculated formation energy belongs to which entry?

MgBe3Pd4


> Which formula does entry 1 have?

MgBePd6